1.
Density functional theory data (meta-GGA SCAN) for a PBEsol-optimized structure of BeZnAg2.

a b c (Å): 9.3427 2.8915 4.3651
angles (deg): 90.00 111.16 90.00
Last column: nearest neighbours and their distance in Å.
Space group Cm (No. 8)
Symmetry-distinct sites (fractional):
Be  0.0000  0.0000  0.0000 [2 per cell]  2 Zn 2.44, 6 Ag 2.48-2.66
Zn  0.2818  0.0000  0.7216 [2 per cell]  2 Be 2.44, 5 Ag 2.63-2.68
Ag  0.0143  0.5000  0.5016 [2 per cell]  4 Be 2.59-2.66, 3 Zn 2.67-2.74, 5 Ag 2.86-2.90
Ag  0.2312  0.5000  0.1766 [2 per cell]  2 Be 2.48, 4 Zn 2.63-2.68

Offset from the most stable computed form: 0 meV per atom
ρ: 8.76 g cm⁻³
Crystal system: monoclinic
E_form: 5 kJ/mol of atoms
Volume: 13.747 Å³ per atom

***

2.
Density functional theory data (meta-GGA SCAN) for a PBEsol-optimized structure of SrMgZn2Mo.

a b c (Å): 4.9191 4.9191 5.0913
angles (deg): 90.00 90.00 90.00
Last column: nearest neighbours and their distance in Å.
Space group P4/mmm (No. 123)
Symmetry-distinct sites (fractional):
Sr  0.0000  0.0000  0.0000 [1 per cell]  4 Mg 3.48, 8 Zn 3.54
Mg  0.5000  0.5000  0.0000 [1 per cell]  2 Mo 2.55
Zn  0.0000  0.5000  0.5000 [2 per cell]  2 Mo 2.46
Mo  0.5000  0.5000  0.5000 [1 per cell]  4 Zn 2.46, 2 Mg 2.55

ρ: 4.57 g cm⁻³
Crystal system: tetragonal
E_form: 43 kJ/mol of atoms
Volume: 24.639 Å³ per atom

***

3.
Density functional theory data (meta-GGA SCAN) for a PBEsol-optimized structure of BaIr3F.

a b c (Å): 5.1560 5.1560 5.1560
angles (deg): 90.00 90.00 90.00
Last column: nearest neighbours and their distance in Å.
Space group Pm-3m (No. 221)
Symmetry-distinct sites (fractional):
Ba  0.0000  0.0000  0.0000 [1 per cell]  6 Ir 2.58
Ir  0.0000  0.0000  0.5000 [3 per cell]  2 Ba 2.58
F  0.5000  0.5000  0.5000 [1 per cell]  12 Ir 3.65

ρ: 8.88 g cm⁻³
Crystal system: cubic
Energy relative to the elements, uncorrected: 3018 meV/atom
Volume: 27.414 Å³ per atom

***

4.
Density functional theory data (meta-GGA SCAN) for a PBEsol-optimized structure of GaAgIrO2.

a b c (Å): 3.7662 3.7662 5.3109
angles (deg): 90.00 90.00 90.00
Last column: nearest neighbours and their distance in Å.
Space group P4/mmm (No. 123)
Symmetry-distinct sites (fractional):
Ga  0.0000  0.0000  0.0000 [1 per cell]  4 Ir 2.66
Ag  0.5000  0.5000  0.5000 [1 per cell]  4 O 1.88
Ir  0.5000  0.5000  0.0000 [1 per cell]  2 Ag 2.66, 4 Ga 2.66
O  0.0000  0.5000  0.5000 [2 per cell]  2 Ag 1.88

ρ: 8.86 g cm⁻³
Crystal system: tetragonal
Energy relative to the elements, uncorrected: 777 meV/atom
Volume: 15.066 Å³ per atom

***

5.
Density functional theory data (meta-GGA SCAN) for a PBEsol-optimized structure of LaTlCd2.

a b c (Å): 4.9023 4.9023 8.4940
angles (deg): 90.00 90.00 90.00
Last column: nearest neighbours and their distance in Å.
Space group I4/mmm (No. 139)
Symmetry-distinct sites (fractional):
La  0.0000  0.0000  0.0000 [2 per cell]  8 Cd 3.24, 4 Tl 3.47
Tl  0.0000  0.0000  0.5000 [2 per cell]  8 Cd 3.24, 4 La 3.47
Cd  0.0000  0.5000  0.2500 [4 per cell]  4 La 3.24, 4 Tl 3.24, 4 Cd 3.47

ρ: 9.24 g cm⁻³
Crystal system: tetragonal
E_form: -31 kJ/mol of atoms
Volume: 25.517 Å³ per atom

***

6.
Density functional theory data (meta-GGA SCAN) for a PBEsol-optimized structure of InRe4P.

a b c (Å): 7.3531 7.3531 7.3531
angles (deg): 90.00 90.00 90.00
Last column: nearest neighbours and their distance in Å.
Space group F-43m (No. 216)
Symmetry-distinct sites (fractional):
In  0.0000  0.0000  0.0000 [4 per cell]  12 Re 3.05, 4 P 3.18
Re  0.1242  0.1242  0.3758 [16 per cell]  6 Re 2.58-2.62
P  0.2500  0.2500  0.7500 [4 per cell]  12 Re 3.05, 4 In 3.18

ρ: 14.88 g cm⁻³
Crystal system: cubic
E_form: 78 kJ/mol of atoms
Volume: 16.565 Å³ per atom

***

Number 1: D(E_F) 1.91 states/eV/cell. Number 2: D(E_F) 5.11 states/eV/cell. Number 3: D(E_F) 2.19 states/eV/cell. Number 4: D(E_F) 3.93 states/eV/cell. Number 5: D(E_F) 3.83 states/eV/cell. Number 6: D(E_F) 14.45 states/eV/cell.